1.
{
  "formula": "Ce6S8Cl",
  "functional": "PBE-GGA",
  "state": "relaxed",
  "e_form_raw_ev_per_atom": -1.9434,
  "final_energy_ev_per_atom": -6.6414,
  "lattice_angstrom": [[4.216, 2.434, 5.889], [-4.216, 2.434, 5.889], [0.000, -4.869, 5.889]],
  "species": ["Ce", "Ce", "Ce", "Ce", "Ce", "Ce", "S", "S", "S", "S", "S", "S", "S", "S", "Cl"],
  "fractional_positions": [[0.078, 0.431, 0.773], [0.227, 0.922, 0.569], [0.431, 0.773, 0.078], [0.569, 0.227, 0.922], [0.773, 0.078, 0.431], [0.922, 0.569, 0.227], [0.079, 0.723, 0.395], [0.168, 0.168, 0.168], [0.277, 0.605, 0.921], [0.395, 0.079, 0.723], [0.605, 0.921, 0.277], [0.723, 0.395, 0.079], [0.832, 0.832, 0.832], [0.921, 0.277, 0.605], [0.500, 0.500, 0.500]]
}

=====

2.
{
  "formula": "Ce2SCl",
  "functional": "PBE-GGA",
  "state": "relaxed",
  "polymorph_energy_mev_per_atom": 0,
  "e_form_raw_ev_per_atom": -1.7367,
  "final_energy_ev_per_atom": -6.1972,
  "lattice_angstrom": [[2.007, 1.159, 6.591], [-2.007, 1.159, 6.591], [0.000, -2.317, 6.591]],
  "species": ["Ce", "Ce", "S", "Cl"],
  "fractional_positions": [[0.246, 0.246, 0.246], [0.754, 0.754, 0.754], [0.500, 0.500, 0.500], [0.000, 0.000, 0.000]]
}

=====

3.
{
  "formula": "Ce2S3Cl",
  "functional": "PBE-GGA",
  "state": "relaxed",
  "e_form_raw_ev_per_atom": -1.7638,
  "final_energy_ev_per_atom": -6.1133,
  "lattice_angstrom": [[3.769, 2.176, 6.160], [-3.769, 2.176, 6.160], [0.000, -4.352, 6.160]],
  "species": ["Ce", "Ce", "Ce", "Ce", "S", "S", "S", "S", "S", "S", "Cl", "Cl"],
  "fractional_positions": [[0.145, 0.145, 0.145], [0.355, 0.355, 0.355], [0.645, 0.645, 0.645], [0.855, 0.855, 0.855], [0.018, 0.750, 0.482], [0.250, 0.518, 0.982], [0.482, 0.018, 0.750], [0.518, 0.982, 0.250], [0.750, 0.482, 0.018], [0.982, 0.250, 0.518], [0.000, 0.000, 0.000], [0.500, 0.500, 0.500]]
}

=====

4.
{
  "formula": "Ce2SCl2",
  "functional": "PBE-GGA",
  "state": "relaxed",
  "e_form_raw_ev_per_atom": -2.0427,
  "final_energy_ev_per_atom": -5.9804,
  "lattice_angstrom": [[3.496, -2.017, 0.000], [3.496, 2.017, 0.000], [-0.085, 0.000, 9.843]],
  "species": ["Ce", "Ce", "S", "Cl", "Cl"],
  "fractional_positions": [[0.169, 0.169, 0.157], [0.831, 0.831, 0.843], [0.500, 0.500, 0.000], [0.162, 0.162, 0.670], [0.838, 0.838, 0.330]]
}

=====

Which formula does entry 3 have?
Ce2S3Cl

=====

What is the formula in the third record?
Ce2S3Cl